A plane-wave DFT calculation with PBE was carried out for a relaxed Er3PuTl4S8 crystal.

Cell and atoms, written as extended XYZ:
```
16
Lattice="8.0427 0.0000 0.0000 0.0000 8.8112 0.5386 -4.0214 -4.0188 5.6890" Properties=species:S:1:pos:R:3 pbc="T T T"
Er 4.0214 4.4056 0.2693
Er 2.0107 2.3962 3.1138
Er -2.0107 2.3962 3.1138
Pu 0.0000 4.4056 0.2693
Tl 4.0214 0.0000 0.0000
Tl 2.0107 -2.0094 2.8445
Tl 0.0000 0.0000 0.0000
Tl -2.0107 -2.0094 2.8445
S -1.9830 2.2703 5.8480
S 0.0000 4.2521 3.0426
S 0.0000 0.5258 3.2136
S 1.9830 2.2703 5.8480
S 2.0384 2.5221 0.3795
S 4.0214 4.2667 3.0140
S 4.0214 0.5403 3.1849
S 6.0043 2.5221 0.3795
```

Results
VASP energy = -5.81 eV/atom
space group = No. 166

A plane-wave DFT calculation with PBE was carried out for a relaxed CuOs2Se crystal.

Cell and atoms, written as extended XYZ:
```
4
Lattice="-3.5747 -2.8489 -0.1327 -1.1754 -4.3578 -0.7349 -0.0658 -1.9156 4.5380" Properties=species:S:1:pos:R:3 pbc="T T T"
Cu -1.1936 -2.2788 0.9546
Os -0.0365 -0.0674 0.0234
Os -3.6639 -6.9887 2.9140
Se -2.3297 -4.3483 1.6137
```

Results
VASP energy = -6.88 eV/atom
space group = No. 8

A plane-wave DFT calculation with PBE was carried out for a relaxed FeHg2Cl crystal.

Cell and atoms, written as extended XYZ:
```
4
Lattice="-1.9184 -4.0081 2.4230 -4.9908 -0.8394 -0.0540 -1.8839 -3.8878 -2.6366" Properties=species:S:1:pos:R:3 pbc="T T T"
Cl 0.0000 0.0000 0.0000
Hg -2.1983 -2.1838 -0.0669
Hg -6.5949 -6.5514 -0.2007
Fe -4.3966 -4.3676 -0.1338
```

Results
excess energy over the best structure of this formula in the dataset = 0.572 eV per atom
VASP energy = -2.19 eV/atom
space group = No. 225

A plane-wave DFT calculation with PBE was carried out for a relaxed ZrMnHg2 crystal.

Cell and atoms, written as extended XYZ:
```
4
Lattice="-1.9115 5.4045 -0.7479 -3.8581 0.9038 -4.2095 1.2508 -2.7024 4.9553" Properties=species:S:1:pos:R:3 pbc="T T T"
Hg -0.0191 0.0209 -0.0164
Hg -2.8206 0.7592 -0.9305
Mn -2.8784 3.1472 -2.4733
Zr -1.6855 2.8327 0.9393
```

Results
formation enthalpy at 0 K = 0.15 eV/atom
VASP energy = -4.43 eV/atom
space group = No. 44